No. 1
SmYNiAu: optimized geometry, PBE.

Lattice parameters (Å, degrees): 4.579 5.596 5.596 40.09 90.00 90.00
Element x y z (fractional)
Sm  0.000  0.000  0.000
Y  0.500  0.720  0.720
Ni  0.000  0.277  0.277
Au  0.500  0.435  0.435

Properties
The calculation puts the formation energy at -0.600 eV per atom. As for the spin magnetization: 0.00 μB per formula unit.


No. 2
SmZnNiAu: optimized geometry, PBE.

Lattice parameters (Å, degrees): 4.746 4.746 4.746 60.00 60.00 60.00
Element x y z (fractional)
Sm  0.000  0.000  0.000
Zn  0.500  0.500  0.500
Ni  0.250  0.250  0.250
Au  0.750  0.750  0.750

Properties
The calculation puts the formation energy at -0.342 eV per atom. As for the spin magnetization: 0.00 μB per formula unit.


No. 3
Sm2Zn3Ni12Au: optimized geometry, PBE.

Lattice parameters (Å, degrees): 9.434 9.434 9.434 37.48 37.48 37.48
Element x y z (fractional)
Sm  0.139  0.139  0.139
Sm  0.861  0.861  0.861
Zn  0.000  0.500  0.500
Zn  0.500  0.000  0.500
Zn  0.500  0.500  0.000
Ni  0.044  0.629  0.629
Ni  0.083  0.083  0.699
Ni  0.083  0.699  0.083
Ni  0.301  0.917  0.917
Ni  0.371  0.371  0.956
Ni  0.371  0.956  0.371
Ni  0.629  0.044  0.629
Ni  0.629  0.629  0.044
Ni  0.699  0.083  0.083
Ni  0.917  0.301  0.917
Ni  0.917  0.917  0.301
Ni  0.956  0.371  0.371
Au  0.500  0.500  0.500

Properties
The calculation puts the formation energy at 0.090 eV per atom. As for the spin magnetization: 0.00 μB per formula unit.